Density functional theory data (PBE-GGA) for an optimized crystal structure of Ac3GdS.

## Properties
Space-group type: No. 221
Raw total energy, eV/f.u.: -33.77
Density, kg/m³: 7253
Magnetic moment, μB/cell: 7.49
Formation energy without anion corrections, eV/atom: -0.648

Cell lengths 5.8406, 5.8406, 5.8406 Å; angles 90.00, 90.00, 90.00 degrees
Positions (direct):
Ac: 0.0000 0.0000 0.5000
Ac: 0.0000 0.5000 0.0000
Ac: 0.5000 0.0000 0.0000
Gd: 0.5000 0.5000 0.5000
S: 0.0000 0.0000 0.0000

***

Density functional theory data (PBE-GGA) for an optimized crystal structure of AcGd2Sb.

## Properties
Space-group type: No. 123
Raw total energy, eV/f.u.: -38.45
Density, kg/m³: 8541
Magnetic moment, μB/cell: 15.23
Formation energy without anion corrections, eV/atom: -0.513
Excess energy over the best structure of this formula in the dataset, kJ/mol of atoms: 0.00

Cell lengths 4.0278, 4.0278, 7.9481 Å; angles 90.00, 90.00, 90.00 degrees
Positions (direct):
Ac: 0.0000 0.0000 0.0000
Gd: 0.5000 0.5000 0.2978
Gd: 0.5000 0.5000 0.7022
Sb: 0.0000 0.0000 0.5000

***

Density functional theory data (PBE-GGA) for an optimized crystal structure of AcGd2Sb.

## Properties
Space-group type: No. 225
Raw total energy, eV/f.u.: -37.37
Density, kg/m³: 8855
Magnetic moment, μB/cell: 62.49
Formation energy without anion corrections, eV/atom: -0.244
Excess energy over the best structure of this formula in the dataset, kJ/mol of atoms: 25.94

Cell lengths 7.9238, 7.9238, 7.9238 Å; angles 90.00, 90.00, 90.00 degrees
Positions (direct):
Ac: 0.0000 0.0000 0.0000
Ac: 0.0000 0.5000 0.5000
Ac: 0.5000 0.0000 0.5000
Ac: 0.5000 0.5000 0.0000
Gd: 0.2500 0.2500 0.2500
Gd: 0.2500 0.2500 0.7500
Gd: 0.2500 0.7500 0.2500
Gd: 0.2500 0.7500 0.7500
Gd: 0.7500 0.2500 0.2500
Gd: 0.7500 0.2500 0.7500
Gd: 0.7500 0.7500 0.2500
Gd: 0.7500 0.7500 0.7500
Sb: 0.0000 0.0000 0.5000
Sb: 0.0000 0.5000 0.0000
Sb: 0.5000 0.0000 0.0000
Sb: 0.5000 0.5000 0.5000

***

Density functional theory data (PBE-GGA) for an optimized crystal structure of Ac2GdSb.

## Properties
Space-group type: No. 123
Raw total energy, eV/f.u.: -28.17
Density, kg/m³: 8360
Magnetic moment, μB/cell: 7.52
Formation energy without anion corrections, eV/atom: -0.436
Excess energy over the best structure of this formula in the dataset, kJ/mol of atoms: 0.89

Cell lengths 4.3446, 4.3446, 7.7136 Å; angles 90.00, 90.00, 90.00 degrees
Positions (direct):
Ac: 0.0000 0.0000 0.2265
Ac: 0.0000 0.0000 0.7735
Gd: 0.5000 0.5000 0.5000
Sb: 0.5000 0.5000 0.0000

***

Density functional theory data (PBE-GGA) for an optimized crystal structure of AcGd2Sb.

## Properties
Space-group type: No. 123
Raw total energy, eV/f.u.: -38.27
Density, kg/m³: 8856
Magnetic moment, μB/cell: 14.91
Formation energy without anion corrections, eV/atom: -0.469
Excess energy over the best structure of this formula in the dataset, kJ/mol of atoms: 4.24

Cell lengths 5.0086, 5.0086, 4.9574 Å; angles 90.00, 90.00, 90.00 degrees
Positions (direct):
Ac: 0.0000 0.0000 0.0000
Gd: 0.0000 0.5000 0.5000
Gd: 0.5000 0.0000 0.5000
Sb: 0.5000 0.5000 0.0000

***

Density functional theory data (PBE-GGA) for an optimized crystal structure of Ac2GdSb.

## Properties
Space-group type: No. 166
Raw total energy, eV/f.u.: -27.68
Density, kg/m³: 7231
Magnetic moment, μB/cell: 26.07
Formation energy without anion corrections, eV/atom: -0.315
Excess energy over the best structure of this formula in the dataset, kJ/mol of atoms: 12.61

Cell lengths 4.3200, 4.3200, 31.2454 Å; angles 90.00, 90.00, 120.00 degrees
Positions (direct):
Ac: 0.0000 0.0000 0.2351
Ac: 0.0000 0.0000 0.7649
Ac: 0.3333 0.6667 0.4316
Ac: 0.3333 0.6667 0.9017
Ac: 0.6667 0.3333 0.0983
Ac: 0.6667 0.3333 0.5684
Gd: 0.0000 0.0000 0.0000
Gd: 0.3333 0.6667 0.6667
Gd: 0.6667 0.3333 0.3333
Sb: 0.0000 0.0000 0.5000
Sb: 0.3333 0.6667 0.1667
Sb: 0.6667 0.3333 0.8333